No. 1
Sc2Ga5Tc2Ni: relaxed, PBE-GGA.

abc: 10.030 10.030 3.305
angles: 90.00 90.00 90.00
Fractional coordinates of all 20 atoms:
Sc  0.182  0.318  0.000
Sc  0.318  0.818  0.000
Sc  0.682  0.182  0.000
Sc  0.818  0.682  0.000
Ga  0.000  0.500  0.500
Ga  0.054  0.815  0.500
Ga  0.185  0.054  0.500
Ga  0.315  0.554  0.500
Ga  0.446  0.315  0.500
Ga  0.500  0.000  0.500
Ga  0.554  0.685  0.500
Ga  0.685  0.446  0.500
Ga  0.815  0.946  0.500
Ga  0.946  0.185  0.500
Tc  0.132  0.632  0.000
Tc  0.368  0.132  0.000
Tc  0.632  0.868  0.000
Tc  0.868  0.368  0.000
Ni  0.000  0.000  0.000
Ni  0.500  0.500  0.000

## Properties
The energy relative to the elements comes out at -249 meV/atom. The total energy is -5.68 eV/atom. Its symmetry is No. 127.



No. 2
TmScGa2Ni5: relaxed, PBE-GGA.

abc: 3.869 3.869 8.865
angles: 90.00 90.00 90.00
Fractional coordinates of all 9 atoms:
Tm  0.000  0.000  0.000
Sc  0.000  0.000  0.500
Ga  0.500  0.500  0.362
Ga  0.500  0.500  0.638
Ni  0.000  0.500  0.214
Ni  0.000  0.500  0.786
Ni  0.500  0.000  0.214
Ni  0.500  0.000  0.786
Ni  0.500  0.500  0.000

## Properties
The energy relative to the elements comes out at -392 meV/atom. The total energy is -5.48 eV/atom. Its symmetry is No. 123.